This record from the Alexandria database describes a relaxed Li2CaAcBr8 crystal. The functional is PBE-GGA.

Cell lengths 8.0200, 8.0200, 8.1701 Å; angles 90.00, 90.00, 120.00 degrees
Sites, in units of the cell vectors:
Li 0.3333 0.6667 0.3425
Li 0.6667 0.3333 0.6575
Ca 0.0000 0.0000 0.0000
Ac 0.0000 0.0000 0.5000
Br 0.1574 0.3171 0.2363
Br 0.1596 0.8426 0.2363
Br 0.3171 0.1596 0.7637
Br 0.3333 0.6667 0.6422
Br 0.6667 0.3333 0.3578
Br 0.6829 0.8404 0.2363
Br 0.8404 0.1574 0.7637
Br 0.8426 0.6829 0.7637

Properties
As for the crystal system: trigonal. The value obtained for the formation energy without anion corrections is -1525.7 meV/atom. The energy comes out at -3.469 eV per atom.

This record from the Alexandria database describes a relaxed CaAcBrN crystal. The functional is PBE-GGA.

Cell lengths 7.8292, 7.8292, 7.8292 Å; angles 28.30, 28.30, 28.30 degrees
Sites, in units of the cell vectors:
Ca 0.0000 0.0000 0.0000
Ac 0.2115 0.2115 0.2115
Br 0.4298 0.4298 0.4298
N 0.6119 0.6119 0.6119

Properties
As for the crystal system: trigonal. The value obtained for the formation energy without anion corrections is -1270.3 meV/atom. The energy comes out at -5.297 eV per atom.

This record from the Alexandria database describes a relaxed CaAc2Br2N2 crystal. The functional is PBE-GGA.

Cell lengths 8.6950, 8.6950, 8.6950 Å; angles 149.64, 149.64, 43.48 degrees
Sites, in units of the cell vectors:
Ca 0.0000 0.0000 0.0000
Ac 0.4022 0.4022 0.0000
Ac 0.5978 0.5978 0.0000
Br 0.1894 0.1894 0.0000
Br 0.8106 0.8106 0.0000
N 0.0000 0.5000 0.5000
N 0.5000 0.0000 0.5000

Properties
As for the crystal system: tetragonal. The value obtained for the formation energy without anion corrections is -1370.1 meV/atom. The energy comes out at -5.686 eV per atom.

This record from the Alexandria database describes a relaxed CaAcBrO2 crystal. The functional is PBE-GGA.

Cell lengths 7.3229, 7.3229, 7.3229 Å; angles 146.65, 146.65, 47.88 degrees
Sites, in units of the cell vectors:
Ca 0.0000 0.0000 0.0000
Ac 0.3435 0.3435 0.0000
Br 0.6857 0.6857 0.0000
O 0.4296 0.9296 0.5000
O 0.9296 0.4296 0.5000

Properties
As for the crystal system: tetragonal. The value obtained for the formation energy without anion corrections is -2874.5 meV/atom. The energy comes out at -6.414 eV per atom.

This record from the Alexandria database describes a relaxed CaAcPbBr crystal. The functional is PBE-GGA.

Cell lengths 5.6728, 5.6728, 5.6728 Å; angles 60.00, 60.00, 60.00 degrees
Sites, in units of the cell vectors:
Ca 0.0000 0.0000 0.0000
Ac 0.5000 0.5000 0.5000
Pb 0.2500 0.2500 0.2500
Br 0.7500 0.7500 0.7500

Properties
As for the crystal system: cubic. The value obtained for the formation energy without anion corrections is -912.8 meV/atom. The energy comes out at -3.786 eV per atom.

This record from the Alexandria database describes a relaxed CaAcPtBr crystal. The functional is PBE-GGA.

Cell lengths 8.3797, 8.3797, 8.3797 Å; angles 29.60, 29.60, 29.60 degrees
Sites, in units of the cell vectors:
Ca 0.0000 0.0000 0.0000
Ac 0.8004 0.8004 0.8004
Pt 0.3994 0.3994 0.3994
Br 0.5763 0.5763 0.5763

Properties
As for the crystal system: trigonal. The value obtained for the formation energy without anion corrections is -1289.6 meV/atom. The energy comes out at -4.746 eV per atom.